Entry from Alexandria: a relaxed structure of Pu2PaRu3 (PBE).

- DOS(E_F): 25.85 states/eV per cell
- ΔE_f: -0.54 eV/f.u.
- ΔE to the lowest computed polymorph: 0.151 eV per atom

abc: 4.626 5.289 10.070
angles: 90.00 90.00 90.00
Space group Immm (No. 71)
Unique sites:
Pu 0.000 0.000 0.158
Pa 0.000 0.000 0.500
Ru 0.000 0.500 0.196
Ru 0.000 0.500 0.500